An optimized crystal structure of Ac12TbNd3, computed with PBE.

- DOS at the Fermi energy (states/eV/cell) = 27.2
- energy of formation from the pure elements (meV per atom) = 25
- VASP energy (eV per atom) = -4.24

Cell: 5.530 5.530 22.056 Å, 90.00 90.00 90.00°
Positions (direct):
Nd: 0.000 0.000 0.249
Ac: 0.500 0.000 0.124
Ac: 0.000 0.500 0.124
Nd: 0.000 0.000 0.751
Ac: 0.500 0.000 0.626
Ac: 0.500 0.500 0.249
Ac: 0.500 0.000 0.374
Ac: 0.500 0.500 0.500
Ac: 0.500 0.500 0.000
Ac: 0.000 0.500 0.374
Ac: 0.500 0.000 0.876
Nd: 0.000 0.000 0.500
Tb: 0.000 0.000 0.000
Ac: 0.500 0.500 0.751
Ac: 0.000 0.500 0.626
Ac: 0.000 0.500 0.876